ErMgTi PBE optimized geometry; DFT formation energy = 0.20 eV per atom; uncorrected energy = -13.46 eV per formula unit
1.0
-2.427 -1.958 0.665
2.656 -1.150 -1.337
6.103 -2.665 14.416
Ti Mg Er
2 2 2
Cartesian
5.777 -3.522 10.705
1.627 -1.710 0.902
5.060 -4.218 13.682
3.703 -2.617 5.805
3.143 -3.381 9.153
0.872 -2.390 3.788


ErMg4Ti PBE optimized geometry; DFT formation energy = 0.13 eV per atom; uncorrected energy = -18.05 eV per formula unit
1.0
-2.033 -5.223 -1.557
1.024 -2.043 -5.349
3.676 -4.443 -0.762
Mg Ti Er
4 1 1
Cartesian
2.690 -4.701 -4.014
-0.178 -5.093 -4.414
1.669 -7.325 -4.797
1.154 -6.298 -2.109
0.000 0.000 0.000
0.667 -2.927 -1.917


ErMg2Ti PBE optimized geometry; DFT formation energy = 0.40 eV per atom; uncorrected energy = -14.03 eV per formula unit
1.0
3.053 0.000 0.000
1.526 2.644 0.000
1.526 0.881 11.633
Er Mg Ti
1 2 1
Cartesian
3.053 1.762 5.816
1.526 0.881 8.723
4.579 2.644 2.909
0.000 0.000 0.000


ErMg2Ti PBE optimized geometry; DFT formation energy = 0.16 eV per atom; uncorrected energy = -15.01 eV per formula unit
1.0
-2.152 -3.916 -2.332
2.863 -3.414 -2.355
0.473 -4.640 1.909
Er Mg Ti
1 2 1
Cartesian
0.000 0.000 0.000
0.296 -2.993 -0.695
0.887 -8.978 -2.084
0.592 -5.985 -1.389


| no. | DOS(E_F) (states/eV per atom) |
| --- | --- |
| 1 | 1.180 |
| 2 | 1.167 |
| 3 | 1.094 |
| 4 | 0.989 |